A relaxed V3MoW crystal, computed with PBE.

## Properties
crystal system = monoclinic
ΔE_f = -87.3 meV per atom
theoretical density = 9.957 g/cm³
E above lowest polymorph = 0 meV/atom

abc: 4.327 5.337 6.674
angles: 97.86 108.92 90.00
Atoms (fractional coordinates):
1 V 0.999 0.753 0.997
2 V 0.001 0.247 0.003
3 V 0.400 0.049 0.800
4 V 0.600 0.951 0.200
5 V 0.199 0.648 0.398
6 V 0.801 0.352 0.602
7 Mo 0.599 0.450 0.198
8 Mo 0.401 0.550 0.802
9 W 0.801 0.854 0.602
10 W 0.199 0.146 0.398

---

A relaxed OsRhW2 crystal, computed with PBE.

## Properties
crystal system = monoclinic
ΔE_f = 71.3 meV per atom
theoretical density = 18.031 g/cm³
E above lowest polymorph = 143 meV/atom

abc: 4.819 4.819 4.830
angles: 80.67 80.67 33.40
Atoms (fractional coordinates):
1 Os 0.000 0.000 0.500
2 Rh 0.500 0.500 0.000
3 W 0.250 0.250 0.750
4 W 0.750 0.750 0.250

---

A relaxed K2HgBr4 crystal, computed with PBE.

## Properties
crystal system = tetragonal
theoretical density = 3.764 g/cm³
formation energy from raw total energies = -1141 meV/atom
E above lowest polymorph = 60 meV/atom

abc: 5.682 5.682 9.110
angles: 71.83 71.83 90.00
Atoms (fractional coordinates):
1 K 0.367 0.367 0.265
2 K 0.633 0.633 0.735
3 Hg 0.000 0.000 0.000
4 Br 0.169 0.169 0.663
5 Br 0.831 0.831 0.337
6 Br 0.000 0.500 0.000
7 Br 0.500 0.000 0.000

---

A relaxed Sm3MnCo8 crystal, computed with PBE.

## Properties
crystal system = trigonal
ΔE_f = -49.5 meV per atom
theoretical density = 8.935 g/cm³

abc: 5.035 5.035 8.771
angles: 73.32 73.32 60.00
Each line ends with the local moment (μB).
Atoms (fractional coordinates):
1 Sm 0.376 0.376 0.873  -0.26
2 Sm 0.995 0.995 0.016  -0.22
3 Sm 0.504 0.504 0.489  -0.23
4 Mn 0.873 0.873 0.380  3.72
5 Co 0.933 0.436 0.196  1.33
6 Co 0.447 0.938 0.678  1.29
7 Co 0.436 0.436 0.196  1.33
8 Co 0.938 0.938 0.678  1.29
9 Co 0.189 0.189 0.434  1.46
10 Co 0.688 0.688 0.937  1.13
11 Co 0.436 0.933 0.196  1.33
12 Co 0.938 0.447 0.678  1.29

---

A relaxed SnOsS2 crystal, computed with PBE.

## Properties
crystal system = trigonal
theoretical density = 8.288 g/cm³
formation energy from raw total energies = 513 meV/atom

abc: 9.540 9.540 9.540
angles: 18.30 18.30 18.30
Atoms (fractional coordinates):
1 S 0.921 0.921 0.921
2 S 0.079 0.079 0.079
3 Os 0.000 0.000 0.000
4 Sn 0.500 0.500 0.500

---

A relaxed PuAg12Sn6 crystal, computed with PBE.

## Properties
crystal system = trigonal
ΔE_f = 121.0 meV per atom
theoretical density = 8.629 g/cm³

abc: 7.891 7.891 7.891
angles: 104.60 104.60 104.60
Each line ends with the local moment (μB).
Atoms (fractional coordinates):
1 Pu 0.000 0.000 0.000  5.61
2 Ag 0.890 0.110 0.500  0.00
3 Ag 0.881 0.644 0.644  0.01
4 Ag 0.644 0.644 0.881  0.01
5 Ag 0.356 0.119 0.356  0.01
6 Ag 0.356 0.356 0.119  0.01
7 Ag 0.119 0.356 0.356  0.01
8 Ag 0.110 0.500 0.890  0.00
9 Ag 0.500 0.890 0.110  0.00
10 Ag 0.110 0.890 0.500  0.00
11 Ag 0.890 0.500 0.110  0.00
12 Ag 0.500 0.110 0.890  0.00
13 Ag 0.644 0.881 0.644  0.01
14 Sn 0.700 0.292 0.292  -0.01
15 Sn 0.292 0.292 0.700  -0.01
16 Sn 0.292 0.700 0.292  -0.01
17 Sn 0.708 0.708 0.300  -0.01
18 Sn 0.300 0.708 0.708  -0.01
19 Sn 0.708 0.300 0.708  -0.01

---

A relaxed ZrAlRe crystal, computed with PBE.

## Properties
crystal system = orthorhombic
ΔE_f = -86.5 meV per atom
theoretical density = 9.727 g/cm³
E above lowest polymorph = 378 meV/atom

abc: 7.011 6.838 2.865
angles: 81.48 74.69 23.83
Atoms (fractional coordinates):
1 Re 0.340 0.340 0.660
2 Al 0.989 0.989 0.011
3 Zr 0.671 0.671 0.329

---

A relaxed Ca2MgIn8 crystal, computed with PBE.

## Properties
crystal system = tetragonal
ΔE_f = -224.0 meV per atom
theoretical density = 5.785 g/cm³

abc: 4.847 4.847 12.499
angles: 90.00 90.00 90.00
Atoms (fractional coordinates):
1 Ca 0.000 0.000 0.316
2 Ca 0.000 0.000 0.684
3 Mg 0.000 0.000 0.000
4 In 0.000 0.500 0.500
5 In 0.500 0.000 0.500
6 In 0.500 0.500 0.312
7 In 0.500 0.500 0.688
8 In 0.000 0.500 0.136
9 In 0.500 0.000 0.136
10 In 0.000 0.500 0.864
11 In 0.500 0.000 0.864

---

Which of these has the highest theoretical density?
OsRhW2